A plane-wave DFT calculation with PBE was carried out for an optimized crystal structure of TmHfIr4.

Lattice parameters (Å, degrees): 5.277 5.277 5.277 60.00 60.00 60.00
Element x y z (fractional)
Tm: 0.250 0.250 0.250
Ir: 0.625 0.625 0.125
Ir: 0.625 0.125 0.625
Ir: 0.625 0.625 0.625
Ir: 0.125 0.625 0.625
Hf: 0.000 0.000 0.000

Energy relative to the elements = -0.7301 eV/atom
Size of the total moment = 0.0 μB/f.u.
Crystal system = cubic
Electronic total energy = -54.250 eV/cell